Entry from Alexandria via LeMat-Bulk: Pm6Pr3Er2Th after structural relaxation (GGA-PBE).

E_form: 0.028 eV per atom

Cell and atoms, written as POSCAR:
```
Pm6Pr3Er2Th
1.0
6.286 0.004 0.014
-3.139 5.447 0.014
-1.074 -1.859 11.922
Pr Th Er Pm
3 1 2 6
Direct
0.833 0.167 0.500
0.167 0.833 0.500
0.500 0.500 0.500
0.000 0.000 0.000
0.333 0.667 0.000
0.667 0.333 0.000
0.752 0.752 0.244
0.588 0.918 0.756
0.248 0.248 0.756
0.918 0.588 0.756
0.082 0.412 0.244
0.412 0.082 0.244
```